# Li2VO2F, optimized geometry, DFT PBE+U
# volume: 9.39 Å³ per atom
# E above lowest polymorph: 97.6 meV per atom
data_Li2VO2F
_chemical_formula_sum 'Li4 V2 O4 F2'
_space_group_name_H-M_alt 'I m m m'
_space_group_IT_number 71
_space_group_name_Hall '-I 2 2'
_cell_length_a 2.936
_cell_length_b 4.205
_cell_length_c 9.129
_cell_angle_alpha 90.00
_cell_angle_beta 90.00
_cell_angle_gamma 90.00
loop_
_atom_site_label
_atom_site_type_symbol
_atom_site_fract_x
_atom_site_fract_y
_atom_site_fract_z
Li1 Li 0.000 0.000 0.190
V1 V 0.000 0.000 0.500
O1 O 0.000 0.500 0.151
F1 F 0.000 0.500 0.500